VASP calculation (PBE-GGA) on a relaxed structure of Dy2RhAu6.

Geometry as CIF:
```
data_Dy2RhAu6
_symmetry_space_group_name_H-M 'P 1'
_symmetry_Int_Tables_number 1
_cell_length_a 3.979
_cell_length_b 7.038
_cell_length_c 7.007
_cell_angle_alpha 111.11
_cell_angle_beta 106.50
_cell_angle_gamma 90.00
loop_
_symmetry_equiv_pos_as_xyz
'x,y,z'
loop_
_atom_site_label
_atom_site_fract_x
_atom_site_fract_y
_atom_site_fract_z
_atom_site_occupancy
Dy1 0.942 0.195 0.885 1
Dy2 0.058 0.805 0.115 1
Rh1 0.500 0.500 0.000 1
Au1 0.395 0.829 0.790 1
Au2 0.605 0.171 0.210 1
Au3 0.729 0.832 0.458 1
Au4 0.168 0.507 0.336 1
Au5 0.271 0.168 0.542 1
Au6 0.832 0.493 0.664 1
```

Output
- total moment (μB/f.u.) = 0.0
- raw total energy (eV/atom) = -4.61
- volume (Å³/cell) = 174.4
- space group = C2/m

=====

VASP calculation (PBE-GGA) on a relaxed structure of Ba2CaRe.

Geometry as CIF:
```
data_Ba2CaRe
_symmetry_space_group_name_H-M 'P 1'
_symmetry_Int_Tables_number 1
_cell_length_a 3.777
_cell_length_b 3.772
_cell_length_c 11.163
_cell_angle_alpha 70.21
_cell_angle_beta 90.00
_cell_angle_gamma 90.00
loop_
_symmetry_equiv_pos_as_xyz
'x,y,z'
loop_
_atom_site_label
_atom_site_fract_x
_atom_site_fract_y
_atom_site_fract_z
_atom_site_occupancy
Re1 0.500 0.750 0.750 1
Ca1 0.500 0.250 0.250 1
Ba1 0.000 0.065 0.934 1
Ba2 0.000 0.435 0.566 1
```

Output
- total moment (μB/f.u.) = 0.8
- raw total energy (eV/atom) = -3.71
- volume (Å³/cell) = 149.7
- space group = P4/mmm

=====

VASP calculation (PBE-GGA) on a relaxed structure of Pm4Hg3Au2.

Geometry as CIF:
```
data_Pm4Hg3Au2
_symmetry_space_group_name_H-M 'P 1'
_symmetry_Int_Tables_number 1
_cell_length_a 5.163
_cell_length_b 5.163
_cell_length_c 10.128
_cell_angle_alpha 89.98
_cell_angle_beta 90.00
_cell_angle_gamma 60.00
loop_
_symmetry_equiv_pos_as_xyz
'x,y,z'
loop_
_atom_site_label
_atom_site_fract_x
_atom_site_fract_y
_atom_site_fract_z
_atom_site_occupancy
Pm1 0.667 0.667 0.883 1
Pm2 0.000 0.000 0.332 1
Pm3 0.000 0.000 0.668 1
Pm4 0.333 0.333 0.117 1
Hg1 0.333 0.333 0.485 1
Hg2 0.000 0.000 0.000 1
Hg3 0.667 0.667 0.515 1
Au1 0.333 0.333 0.813 1
Au2 0.667 0.667 0.187 1
```

Output
- total moment (μB/f.u.) = 0.0
- raw total energy (eV/atom) = -3.49
- volume (Å³/cell) = 233.8
- space group = P-3m1

=====

VASP calculation (PBE-GGA) on a relaxed structure of SiNiHN.

Geometry as CIF:
```
data_SiNiHN
_symmetry_space_group_name_H-M 'P 1'
_symmetry_Int_Tables_number 1
_cell_length_a 2.776
_cell_length_b 2.776
_cell_length_c 5.891
_cell_angle_alpha 89.31
_cell_angle_beta 89.66
_cell_angle_gamma 60.00
loop_
_symmetry_equiv_pos_as_xyz
'x,y,z'
loop_
_atom_site_label
_atom_site_fract_x
_atom_site_fract_y
_atom_site_fract_z
_atom_site_occupancy
Si1 0.753 0.839 0.874 1
Ni1 0.087 0.165 0.160 1
H1 0.420 0.514 0.538 1
N1 0.420 0.510 0.717 1
```

Output
- total moment (μB/f.u.) = 0.0
- raw total energy (eV/atom) = -5.98
- volume (Å³/cell) = 39.3
- space group = P1

=====

VASP calculation (PBE-GGA) on a relaxed structure of CeDy2Hf.

Geometry as CIF:
```
data_CeDy2Hf
_symmetry_space_group_name_H-M 'P 1'
_symmetry_Int_Tables_number 1
_cell_length_a 4.902
_cell_length_b 4.782
_cell_length_c 4.782
_cell_angle_alpha 90.00
_cell_angle_beta 90.00
_cell_angle_gamma 90.00
loop_
_symmetry_equiv_pos_as_xyz
'x,y,z'
loop_
_atom_site_label
_atom_site_fract_x
_atom_site_fract_y
_atom_site_fract_z
_atom_site_occupancy
Hf1 0.500 0.000 0.000 1
Ce1 0.500 0.500 0.500 1
Dy1 0.000 0.000 0.500 1
Dy2 0.000 0.500 0.000 1
```

Output
- total moment (μB/f.u.) = 0.0
- raw total energy (eV/atom) = -6.12
- volume (Å³/cell) = 112.1
- space group = P4/mmm

=====

VASP calculation (PBE-GGA) on a relaxed structure of Ba3Pa2S7.

Geometry as CIF:
```
data_Ba3Pa2S7
_symmetry_space_group_name_H-M 'P 1'
_symmetry_Int_Tables_number 1
_cell_length_a 5.204
_cell_length_b 5.351
_cell_length_c 13.126
_cell_angle_alpha 101.76
_cell_angle_beta 90.00
_cell_angle_gamma 90.00
loop_
_symmetry_equiv_pos_as_xyz
'x,y,z'
loop_
_atom_site_label
_atom_site_fract_x
_atom_site_fract_y
_atom_site_fract_z
_atom_site_occupancy
Ba1 0.500 0.500 0.000 1
Ba2 0.500 0.678 0.357 1
Ba3 0.500 0.322 0.643 1
Pa1 0.000 0.896 0.791 1
Pa2 0.000 0.104 0.209 1
S1 0.000 0.402 0.804 1
S2 0.000 0.795 0.590 1
S3 0.000 0.000 0.000 1
S4 0.000 0.598 0.196 1
S5 0.500 0.101 0.202 1
S6 0.500 0.899 0.798 1
S7 0.000 0.205 0.410 1
```

Output
- formation energy without anion corrections (eV/f.u.) = -20.99
- total moment (μB/f.u.) = 1.8
- raw total energy (eV/atom) = -6.22
- volume (Å³/cell) = 357.9
- space group = Cmmm

=====

Question: The lowest volume belongs to which entry?
Answer: SiNiHN